A relaxed structure of CoCl2O. Source: Alexandria via LeMat-Bulk, functional PBE with a Hubbard U.

The calculation puts the total energy at -3.3322 eV per atom.

It has space group I-42d (No. 122), with a = 6.632 Å, b = 6.632 Å, c = 8.341 Å, α = 90.00°, β = 90.00° and γ = 90.00°. Symmetry generates all atoms from Co at (0.000, 0.000, 0.000), Cl at (0.181, 0.750, 0.125) and O at (0.000, 0.000, 0.500).